Record 1
Compound: ThRuPt
Source: Alexandria via LeMat-Bulk
Functional: PBE-GGA
Structure: relaxed

## Properties
Total energy, eV per atom: -8.020
Distance to the lowest polymorph of the same formula, meV per atom: 204
Formation enthalpy at 0 K, eV/atom: -0.442
Calculated volume, A^3/atom: 20.2

Unit cell a=3.778 b=3.778 c=5.014 alpha=112.13 beta=112.13 gamma=90.00
Element x y z (fractional)
1 Ru 0.270 0.270 0.539
2 Pt 0.621 0.621 0.243
3 Th 0.959 0.959 0.918



Record 2
Compound: Nb2PtI8
Source: Alexandria via LeMat-Bulk
Functional: PBE-GGA
Structure: relaxed

## Properties
Formation energy from raw total energies, eV/f.u.: -2.2
Total energy, eV per atom: -3.710
Calculated volume, A^3/atom: 52.5

Unit cell a=8.057 b=9.499 c=9.499 alpha=60.70 beta=69.17 gamma=69.17
Each line ends with the local moment (μB).
Element x y z (fractional)
1 Nb 0.731 0.181 0.181  0.95
2 Nb 0.269 0.819 0.819  0.95
3 Pt 0.000 0.000 0.000  -0.16
4 I 0.044 0.093 0.658  -0.03
5 I 0.044 0.658 0.093  -0.03
6 I 0.956 0.907 0.342  -0.03
7 I 0.366 0.642 0.642  0.02
8 I 0.956 0.342 0.907  -0.03
9 I 0.440 0.146 0.146  -0.02
10 I 0.560 0.854 0.854  -0.02
11 I 0.634 0.358 0.358  0.02



Record 3
Compound: YScAl2
Source: Alexandria via LeMat-Bulk
Functional: PBE-GGA
Structure: relaxed

## Properties
Total energy, eV per atom: -5.461
Distance to the lowest polymorph of the same formula, meV per atom: 39
Formation enthalpy at 0 K, eV/atom: -0.391
Calculated volume, A^3/atom: 22.4

Unit cell a=4.410 b=3.554 c=5.979 alpha=72.75 beta=90.00 gamma=90.00
Each line ends with the local moment (μB).
Element x y z (fractional)
1 Y 0.500 0.785 0.805  0.07
2 Sc 0.000 0.472 0.431  0.10
3 Al 0.000 0.189 0.996  0.00
4 Al 0.500 0.054 0.268  0.00



Record 4
Compound: Pm2BeSbPd6
Source: Alexandria via LeMat-Bulk
Functional: PBE-GGA
Structure: relaxed

## Properties
Formation energy from raw total energies, eV/f.u.: -6.5
Total energy, eV per atom: -5.496
Calculated volume, A^3/atom: 19.4

Unit cell a=5.809 b=7.399 c=7.380 alpha=46.27 beta=67.12 gamma=89.65
Element x y z (fractional)
1 Pm 0.761 0.240 0.559
2 Pm 0.239 0.760 0.441
3 Be 0.500 0.500 0.000
4 Sb 0.000 0.000 0.000
5 Pd 0.317 0.167 0.480
6 Pd 0.834 0.683 0.963
7 Pd 0.287 0.714 0.041
8 Pd 0.713 0.286 0.959
9 Pd 0.166 0.317 0.037
10 Pd 0.683 0.833 0.520